Here is an optimized crystal structure of PmZrGa from the Alexandria database. Energies are from GGA-PBE.

Output
**ρ**: 6.8 g/cm³
**Distance to the lowest polymorph of the same formula**: 0 meV/atom
**Calculated formation energy**: -0.40 eV per atom

```
PmZrGa
1.0
4.292 0.000 0.000
0.000 4.292 0.000
0.000 0.000 16.285
Pm Zr Ga
4 4 4
Direct
0.000 0.000 0.178 Pm
0.000 0.000 0.822 Pm
0.500 0.500 0.322 Pm
0.500 0.500 0.678 Pm
0.000 0.500 0.000 Zr
0.000 0.500 0.500 Zr
0.500 0.000 0.000 Zr
0.500 0.000 0.500 Zr
0.000 0.000 0.376 Ga
0.000 0.000 0.624 Ga
0.500 0.500 0.124 Ga
0.500 0.500 0.876 Ga
```